Record 1
DFT (PBE) results for crystalline CrHgPb2 at its relaxed geometry. Values from VASP.

Properties
The value obtained for the formation energy is 0.32 eV/atom.

Structure (Quantum ESPRESSO input):
```
&SYSTEM
  ibrav = 0, nat = 4, ntyp = 3
/
ATOMIC_SPECIES
Pb 207.20 Pb.upf
Cr 52.00 Cr.upf
Hg 200.59 Hg.upf
CELL_PARAMETERS angstrom
3.4116 0.2787 0.0000
-0.2827 3.4113 0.0000
0.0000 0.0000 9.0915
ATOMIC_POSITIONS crystal
Pb 0.0000 0.0000 0.4535
Cr 0.5000 0.5000 0.2500
Pb 0.0000 0.0000 0.0465
Hg 0.5000 0.5000 0.7500
```

=====

Record 2
DFT (PBE) results for crystalline CrHgPb2 at its relaxed geometry. Values from VASP.

Properties
The value obtained for the formation energy is 0.42 eV/atom.

Structure (Quantum ESPRESSO input):
```
&SYSTEM
  ibrav = 0, nat = 4, ntyp = 3
/
ATOMIC_SPECIES
Pb 207.20 Pb.upf
Cr 52.00 Cr.upf
Hg 200.59 Hg.upf
CELL_PARAMETERS angstrom
3.6596 0.0000 0.0000
0.0000 5.4391 0.0000
0.0000 0.0000 5.1964
ATOMIC_POSITIONS crystal
Pb 0.5000 0.5000 0.0000
Cr 0.5000 0.0000 0.5000
Pb 0.0000 0.0000 0.0000
Hg 0.0000 0.5000 0.5000
```

=====

Record 3
DFT (PBE) results for crystalline CrHgPb2 at its relaxed geometry. Values from VASP.

Properties
The value obtained for the formation energy is 0.38 eV/atom.

Structure (Quantum ESPRESSO input):
```
&SYSTEM
  ibrav = 0, nat = 4, ntyp = 3
/
ATOMIC_SPECIES
Pb 207.20 Pb.upf
Hg 200.59 Hg.upf
Cr 52.00 Cr.upf
CELL_PARAMETERS angstrom
7.6957 0.0258 0.0693
-3.0644 4.4697 -0.0174
1.5669 1.0982 2.9566
ATOMIC_POSITIONS crystal
Pb 0.5000 0.0000 0.5000
Hg 0.5000 0.5000 0.0000
Pb 0.0000 0.0000 0.0000
Cr 0.0000 0.5000 0.5000
```

=====

Number 1: N(E_F) 2.766 states/eV/cell, spin magnetization 3.727 Bohr magnetons per cell. Number 2: N(E_F) 2.072 states/eV/cell, spin magnetization 4.245 Bohr magnetons per cell. Number 3: N(E_F) 1.998 states/eV/cell, spin magnetization 4.168 Bohr magnetons per cell.